A plane-wave DFT calculation with PBE-GGA was carried out for Li5FeAsN2 after structural relaxation.

Cell and atoms, written as POSCAR:
```
Li5FeAsN2
1.0
4.0560 0.0000 0.0000
0.0000 4.0560 0.0000
0.0000 0.0000 7.6938
Li Fe As N
5 1 1 2
Cartesian
0.0000 0.0000 0.0000
0.0000 2.0280 1.8467
0.0000 2.0280 5.8471
2.0280 0.0000 1.8467
2.0280 0.0000 5.8471
0.0000 0.0000 3.8469
2.0280 2.0280 0.0000
0.0000 0.0000 2.1436
0.0000 0.0000 5.5502
```

Computed properties:
Its symmetry is P4/mmm. For the total energy, the calculation gives -4.650 eV per atom. The value obtained for the mass density is 2.5 Mg/m³.